! GGA-PBE Dy2ScAlO, relaxed; values from VASP
&SYSTEM
  ibrav = 0, nat = 5, ntyp = 4
/
ATOMIC_SPECIES
Dy 162.50 Dy.upf
Sc 44.96 Sc.upf
Al 26.98 Al.upf
O 16.00 O.upf
ATOMIC_POSITIONS angstrom
Dy 0.000 2.374 0.000
Dy 2.374 0.000 0.000
Sc 0.000 0.000 2.193
Al 2.374 2.374 2.193
O 0.000 0.000 0.000
CELL_PARAMETERS angstrom
4.748 0.000 0.000
0.000 4.748 0.000
0.000 0.000 4.387
! Magnetic moment   0.000 μB/atom
! ΔE_f (raw)   -1391 meV/atom
! VASP energy   -31.192 eV per formula unit
! Fermi-level density of states   0.663 states/eV per atom